DFT (GGA+U) results for a relaxed K3Mn3ReO8 crystal.

DFT total energy	-102.32	eV/f.u.
calculated volume	15.06	Å³/atom

Structure (CIF):
```
data_K3Mn3ReO8
_space_group_name_H-M_alt 'P 1'
_space_group_IT_number 1
_space_group_name_Hall 'P 1'
_cell_length_a 6.517
_cell_length_b 6.517
_cell_length_c 7.206
_cell_angle_alpha 116.93
_cell_angle_beta 90.00
_cell_angle_gamma 120.00
loop_
_atom_site_label
_atom_site_type_symbol
_atom_site_fract_x
_atom_site_fract_y
_atom_site_fract_z
K1 K 0.000 0.500 0.000
O1 O 0.718 0.436 0.654
Mn1 Mn 0.500 0.000 0.500
O2 O 0.201 0.401 0.675
Re1 Re 0.000 0.000 0.500
K2 K 0.000 0.000 0.000
O3 O 0.774 0.975 0.676
O4 O 0.201 0.975 0.676
O5 O 0.226 0.025 0.324
K3 K 0.500 0.500 0.000
O6 O 0.799 0.025 0.324
Mn2 Mn 0.000 0.500 0.500
Mn3 Mn 0.500 0.500 0.500
O7 O 0.799 0.599 0.325
O8 O 0.282 0.564 0.346
```